# 1
5
Lattice="5.1181 0.0000 0.0000 0.0000 5.1181 0.0000 0.0000 0.0000 5.1181" Properties=species:S:1:pos:R:3 comment="TlIn3Pd | Alexandria | GGA-PBEsol | relaxed" e_above_lowest_polymorph_kj_per_mol_atoms=0.00 formation_energy_ev_per_atom=-0.08 spacegroup="Pm-3m, No. 221" m_tot_mub_per_atom=0.000 pbc="T T T"
Tl 0.0000 0.0000 0.0000
In 0.0000 2.5590 2.5590
In 2.5590 0.0000 2.5590
In 2.5590 2.5590 0.0000
Pd 2.5590 2.5590 2.5590

=====

# 2
4
Lattice="5.1299 0.0000 0.0000 0.0000 5.1299 0.0000 0.0000 0.0000 4.6521" Properties=species:S:1:pos:R:3 comment="KLa2Zn | Alexandria | GGA-PBEsol | relaxed" formation_energy_ev_per_atom=0.36 spacegroup="P4/mmm, No. 123" m_tot_mub_per_atom=0.000 pbc="T T T"
K 0.0000 0.0000 0.0000
La 0.0000 2.5649 2.3260
La 2.5649 0.0000 2.3260
Zn 2.5649 2.5649 0.0000

=====

# 3
4
Lattice="4.4508 0.0000 0.0000 0.0000 4.4508 0.0000 0.0000 0.0000 3.7700" Properties=species:S:1:pos:R:3 comment="CdInAg2 | Alexandria | GGA-PBEsol | relaxed" formation_energy_ev_per_atom=-0.04 spacegroup="P4/mmm, No. 123" m_tot_mub_per_atom=0.000 pbc="T T T"
Cd 0.0000 0.0000 0.0000
In 2.2254 2.2254 0.0000
Ag 0.0000 2.2254 1.8850
Ag 2.2254 0.0000 1.8850

=====

# 4
3
Lattice="3.0822 0.0000 0.0000 -1.5411 2.6693 0.0000 0.0000 0.0000 5.2854" Properties=species:S:1:pos:R:3 comment="ZnNiCl | Alexandria | GGA-PBEsol | relaxed" spacegroup="P3m1, No. 156" m_tot_mub_per_atom=0.000 energy_ev_per_cell=-9.965 pbc="T T T"
Zn 0.0000 0.0000 0.0000
Ni 1.5411 0.8898 1.6453
Cl 0.0000 1.7795 3.2970

=====

# 5
12
Lattice="6.1840 -1.8647 0.0000 6.1840 1.8647 0.0000 -3.0222 0.0000 10.9396" Properties=species:S:1:pos:R:3 comment="Tm4CdS7 | Alexandria | GGA-PBEsol | relaxed" spacegroup="Cm, No. 8" m_tot_mub_per_atom=0.000 energy_ev_per_cell=-73.490 pbc="T T T"
Tm 0.0000 0.0000 0.0000
Tm 2.9669 0.0000 6.5825
Tm 6.1549 0.0000 4.2006
Tm 6.1317 0.0000 8.8955
Cd 9.4400 0.0000 2.5149
S -1.8573 0.0000 8.2738
S 1.7679 0.0000 3.7731
S 1.8055 0.0000 9.3820
S 5.0761 0.0000 1.7527
S 8.0725 0.0000 0.3255
S 7.2993 0.0000 6.5639
S 10.5827 0.0000 5.0153

=====

# 6
4
Lattice="0.0000 2.7887 2.7887 2.7887 0.0000 2.7887 2.7887 2.7887 0.0000" Properties=species:S:1:pos:R:3 comment="CuBrO2 | Alexandria | GGA-PBEsol | relaxed" spacegroup="Fm-3m, No. 225" m_tot_mub_per_atom=0.000 energy_ev_per_cell=-13.468 pbc="T T T"
Cu 0.0000 0.0000 0.0000
Br 2.7887 2.7887 2.7887
O 1.3944 1.3944 1.3944
O 4.1831 4.1831 4.1831

=====

# 7
5
Lattice="-2.1495 2.1495 6.4077 2.1495 -2.1495 6.4077 2.1495 2.1495 -6.4077" Properties=species:S:1:pos:R:3 comment="Mg3ZnSe | Alexandria | GGA-PBEsol | relaxed" spacegroup="I4mm, No. 107" m_tot_mub_per_atom=0.000 energy_ev_per_cell=-11.774 pbc="T T T"
Mg 0.0000 0.0000 0.0000
Mg 2.1495 0.0000 4.2086
Mg 0.0000 2.1495 4.2086
Zn 0.0000 0.0000 6.1587
Se 0.0000 0.0000 2.6271

=====

# 8
4
Lattice="0.0000 3.5687 3.5687 3.5687 0.0000 3.5687 3.5687 3.5687 0.0000" Properties=species:S:1:pos:R:3 comment="Bi2PCl | Alexandria | GGA-PBEsol | relaxed" e_above_lowest_polymorph_kj_per_mol_atoms=9.30 spacegroup="Fm-3m, No. 225" m_tot_mub_per_atom=0.000 pbc="T T T"
Bi 1.7843 1.7843 1.7843
Bi 5.3530 5.3530 5.3530
P 0.0000 0.0000 0.0000
Cl 3.5687 3.5687 3.5687

=====

# 9
5
Lattice="3.7261 0.0000 0.0000 0.0000 3.7261 0.0000 0.0000 0.0000 4.7708" Properties=species:S:1:pos:R:3 comment="CoSiTeO2 | Alexandria | GGA-PBEsol | relaxed" spacegroup="P4/mmm, No. 123" m_tot_mub_per_atom=0.278 energy_ev_per_cell=-28.134 pbc="T T T"
Co 0.0000 0.0000 0.0000
Si 0.0000 0.0000 2.3854
Te 1.8631 1.8631 2.3854
O 0.0000 1.8631 0.0000
O 1.8631 0.0000 0.0000

=====

# 10
6
Lattice="2.9829 0.0000 0.0000 0.0000 3.8531 0.0000 0.0000 0.0000 5.8442" Properties=species:S:1:pos:R:3 comment="CrOF | Alexandria | GGA-PBEsol | relaxed" spacegroup="Pmmn, No. 59" m_tot_mub_per_atom=1.000 energy_ev_per_cell=-47.995 pbc="T T T"
Cr 0.7457 0.9633 0.8581
Cr 2.2371 2.8898 4.9861
O 0.7457 2.8898 0.4436
O 2.2371 0.9633 5.4007
F 0.7457 2.8898 3.7467
F 2.2371 0.9633 2.0976

=====

# 11
4
Lattice="0.0000 2.9841 2.9841 2.9841 0.0000 2.9841 2.9841 2.9841 0.0000" Properties=species:S:1:pos:R:3 comment="Mn2SiCl | Alexandria | GGA-PBEsol | relaxed" e_above_lowest_polymorph_kj_per_mol_atoms=25.85 spacegroup="Fm-3m, No. 225" m_tot_mub_per_atom=1.320 pbc="T T T"
Mn 1.4921 1.4921 1.4921
Mn 4.4762 4.4762 4.4762
Si 0.0000 0.0000 0.0000
Cl 2.9841 2.9841 2.9841

=====

# 12
6
Lattice="4.8641 -1.3581 0.0000 4.8641 1.3581 0.0000 -1.6163 0.0000 6.1004" Properties=species:S:1:pos:R:3 comment="Cu2Au | Alexandria | GGA-PBEsol | relaxed" e_above_lowest_polymorph_kj_per_mol_atoms=5.64 formation_energy_ev_per_atom=0.02 spacegroup="Cm, No. 8" m_tot_mub_per_atom=0.000 pbc="T T T"
Cu 0.0000 0.0000 0.0000
Cu -0.4325 0.0000 3.7309
Cu 3.3212 0.0000 1.5812
Cu 5.4365 0.0000 5.7242
Au 2.2256 0.0000 4.1482
Au 5.9026 0.0000 1.9602